Material: BeNi3I
Method: DFT, GGA-PBE
State: optimized geometry

Results
Relative energy among the computed polymorphs (meV/atom): 0
Calculated volume (Å³ per atom): 13.705
Formation energy from raw total energies (meV/atom): 479

Cell: 4.0922 4.0922 4.0922 Å, 90.00 90.00 90.00°
Closest atoms and distances in Å follow each position.
Fractional positions:
Be 0.0000 0.0000 0.0000  6 Ni 2.05
Ni 0.0000 0.0000 0.5000  2 Be 2.05
Ni 0.0000 0.5000 0.0000  2 Be 2.05
Ni 0.5000 0.0000 0.0000  2 Be 2.05
I 0.5000 0.5000 0.5000  12 Ni 2.89

---

Material: BeNi2I
Method: DFT, GGA-PBE
State: optimized geometry

Results
Relative energy among the computed polymorphs (meV/atom): 0
Calculated volume (Å³ per atom): 15.508
Formation energy from raw total energies (meV/atom): 512

Cell: 8.0919 8.0919 8.0919 Å, 151.02 151.02 41.44°
Closest atoms and distances in Å follow each position.
Fractional positions:
Be 0.0000 0.0000 0.0000  4 Ni 2.27
Be 0.7500 0.2500 0.5000  4 Ni 2.27
Ni 0.0563 0.6250 0.9313  2 Be 2.27, 2 Ni 2.50, 2 I 2.50
Ni 0.3750 0.3063 0.4313  2 Be 2.27, 2 Ni 2.50, 2 I 2.50
Ni 0.6937 0.1250 0.0687  2 Be 2.27, 2 Ni 2.50, 2 I 2.50
Ni 0.8750 0.9437 0.5687  2 Be 2.27, 2 Ni 2.50, 2 I 2.50
I 0.2500 0.7500 0.5000  4 Ni 2.50
I 0.5000 0.5000 0.0000  4 Ni 2.50

---

Material: Be2NiI
Method: DFT, GGA-PBE
State: optimized geometry

Results
Relative energy among the computed polymorphs (meV/atom): 0
Calculated volume (Å³ per atom): 16.147
Formation energy from raw total energies (meV/atom): 480

Cell: 8.1262 8.1262 8.1262 Å, 150.58 150.58 42.09°
Closest atoms and distances in Å follow each position.
Fractional positions:
Be 0.3750 0.2045 0.3295  2 Be 2.17, 2 Ni 2.18
Be 0.7955 0.1250 0.1705  2 Be 2.17, 2 Ni 2.18
Be 0.8750 0.0455 0.6705  2 Be 2.17, 2 Ni 2.18
Be 0.9545 0.6250 0.8295  2 Be 2.17, 2 Ni 2.18
Ni 0.0000 0.0000 0.0000  4 Be 2.18
Ni 0.7500 0.2500 0.5000  4 Be 2.18
I 0.2500 0.7500 0.5000  4 Be 2.77, 4 Ni 2.92
I 0.5000 0.5000 0.0000  4 Be 2.77, 4 Ni 2.92

---

Material: BeNiI3
Method: DFT, GGA-PBE
State: optimized geometry

Results
Relative energy among the computed polymorphs (meV/atom): 4
Calculated volume (Å³ per atom): 29.555
Formation energy from raw total energies (meV/atom): 660

Cell: 5.2869 5.2869 5.2869 Å, 90.00 90.00 90.00°
Closest atoms and distances in Å follow each position.
Fractional positions:
Be 0.0000 0.0000 0.0000  12 I 3.74
Ni 0.5000 0.5000 0.5000  6 I 2.64
I 0.0000 0.5000 0.5000  2 Ni 2.64
I 0.5000 0.0000 0.5000  2 Ni 2.64
I 0.5000 0.5000 0.0000  2 Ni 2.64

---

no.,energy (eV/atom)
1,-4.04
2,-3.70
3,-3.22
4,-2.17